{
  "formula": "TbCeErTh",
  "functional": "PBE",
  "state": "relaxed",
  "lattice_angstrom": [[-1.558, -2.778, -1.547], [3.416, -0.170, 0.918], [-3.045, -2.120, 10.932]],
  "species": ["Tb", "Ce", "Er", "Th"],
  "frac_coords": [[0.969, 0.382, 0.366], [0.304, 0.550, 0.870], [0.472, 0.134, 0.620], [0.134, 0.965, 0.113]],
  "crystal_system": "trigonal",
  "final_energy_ev_per_fu": -22.4,
  "polymorph_energy_mev_per_atom": 0,
  "ef_ev_per_atom": 0.0267
}